# La2MgHg PBE relaxed
# Energy relative to the lowest polymorph listed for this composition, meV per atom: 120
# Total moment, μB/f.u.: 0.00
# DOS(E_F), states/eV/atom: 1.103
# ΔE_f, eV per atom: -0.1910
data_La2MgHg
_chemical_formula_sum 'La2 Mg1 Hg1'
_cell_length_a 3.7907
_cell_length_b 3.7907
_cell_length_c 8.2858
_cell_angle_alpha 90.00
_cell_angle_beta 90.00
_cell_angle_gamma 90.00
_space_group_name_H-M_alt 'P 4 m m'
_space_group_IT_number 99
loop_
_space_group_symop_operation_xyz
'x,y,z'
'-y,x,z'
'-x,-y,z'
'y,-x,z'
'-x,y,z'
'y,x,z'
'x,-y,z'
'-y,-x,z'
loop_
_atom_site_label
_atom_site_type_symbol
_atom_site_fract_x
_atom_site_fract_y
_atom_site_fract_z
_atom_site_occupancy
La1 La 0.0000 0.0000 0.0000 1
La2 La 0.5000 0.5000 0.3063 1
Mg1 Mg 0.0000 0.0000 0.5751 1
Hg1 Hg 0.5000 0.5000 0.7474 1